Entry 1:
Compound: Rb2ScCl4
Source: the Alexandria database
Functional: PBE
Structure: optimized geometry

extended XYZ file:
```
7
Lattice="-3.8265 3.8265 4.3902 3.8265 -3.8265 4.3902 3.8265 3.8265 -4.3902" Properties=species:S:1:pos:R:3 pbc="T T T"
Rb 3.8265 0.0000 2.1951
Rb 0.0000 3.8265 2.1951
Sc 0.0000 0.0000 0.0000
Cl 1.7547 1.7547 0.0000
Cl 2.0718 -2.0718 4.3902
Cl -2.0718 2.0718 4.3902
Cl 2.0718 2.0718 4.3902
```

Computed properties:
raw formation energy: -1848.8 meV per atom
size of the total moment: 1.000 μB/f.u.
energy above the most stable polymorph in this dataset: 54 meV per atom

Entry 2:
Compound: ReTcSCl2
Source: the Alexandria database
Functional: PBE
Structure: optimized geometry

extended XYZ file:
```
5
Lattice="4.9590 0.0000 0.0000 0.0000 4.9590 0.0000 0.0000 0.0000 4.4636" Properties=species:S:1:pos:R:3 pbc="T T T"
Re 0.0000 0.0000 0.0000
Tc 2.4795 2.4795 2.2318
S 0.0000 0.0000 2.2318
Cl 0.0000 2.4795 0.0000
Cl 2.4795 0.0000 0.0000
```

Computed properties:
raw formation energy: 927.7 meV per atom
size of the total moment: 4.787 μB/f.u.
energy above the most stable polymorph in this dataset: 0 meV per atom
DOS(E_F): 4.7 states/eV/cell

Entry 3:
Compound: CaLa2Zn
Source: the Alexandria database
Functional: PBE
Structure: optimized geometry

extended XYZ file:
```
4
Lattice="1.8969 1.0952 11.1140 -1.8969 1.0952 11.1140 0.0000 -2.1904 11.1140" Properties=species:S:1:pos:R:3 pbc="T T T"
Ca 0.0000 0.0000 0.0000
La 0.0000 0.0000 7.7806
La 0.0000 0.0000 14.3968
Zn 0.0000 0.0000 27.7650
```

Computed properties:
energy relative to the elements: -10 meV per atom
size of the total moment: 0.005 μB/f.u.
DOS(E_F): 5.2 states/eV/cell

Entry 4:
Compound: MnAu2
Source: the Alexandria database
Functional: PBE
Structure: optimized geometry

extended XYZ file:
```
6
Lattice="4.6046 0.0000 0.0000 -2.3023 3.9877 0.0000 0.0000 0.0000 5.6212" Properties=species:S:1:pos:R:3 pbc="T T T"
Mn 0.0000 2.6585 1.4053
Mn 2.3023 1.3292 4.2159
Au 0.0000 0.0000 0.0000
Au 0.0000 0.0000 2.8106
Au 0.0000 2.6585 4.2159
Au 2.3023 1.3292 1.4053
```

Computed properties:
energy relative to the elements: -20 meV per atom
size of the total moment: 4.059 μB/f.u.
energy above the most stable polymorph in this dataset: 81 meV per atom
DOS(E_F): 3.1 states/eV/cell

Entry 5:
Compound: TaCdO2F
Source: the Alexandria database
Functional: PBE
Structure: optimized geometry

extended XYZ file:
```
5
Lattice="3.9926 0.0000 0.0000 0.0000 3.9926 0.0000 0.0000 0.0000 4.4090" Properties=species:S:1:pos:R:3 pbc="T T T"
Ta 0.0000 0.0000 0.0000
Cd 1.9963 1.9963 2.2045
O 0.0000 1.9963 0.0000
O 1.9963 0.0000 0.0000
F 0.0000 0.0000 2.2045
```

Computed properties:
raw formation energy: -1864.3 meV per atom
size of the total moment: 0.000 μB/f.u.
DOS(E_F): 2.7 states/eV/cell

Entry 6:
Compound: NdZn3CuPd
Source: the Alexandria database
Functional: PBE
Structure: optimized geometry

extended XYZ file:
```
12
Lattice="3.0040 -6.4638 0.0000 3.0040 6.4638 0.0000 0.0000 0.0000 5.6214" Properties=species:S:1:pos:R:3 pbc="T T T"
Nd 3.0040 3.6379 4.2161
Nd 3.0040 -3.6379 1.4054
Zn 1.2372 0.0000 0.0000
Zn 1.2372 0.0000 2.8107
Zn 3.0040 1.7686 1.4054
Zn 3.0040 -1.7686 4.2161
Zn 4.7708 0.0000 0.0000
Zn 4.7708 0.0000 2.8107
Cu 3.0040 0.8859 4.2161
Cu 3.0040 -0.8859 1.4054
Pd 3.0040 4.4574 1.4054
Pd 3.0040 -4.4574 4.2161
```

Computed properties:
energy relative to the elements: -270 meV per atom
size of the total moment: 0.000 μB/f.u.
DOS(E_F): 6.1 states/eV/cell

Entry 7:
Compound: BeSN2F
Source: the Alexandria database
Functional: PBE
Structure: optimized geometry

extended XYZ file:
```
5
Lattice="3.5398 0.0000 0.0000 0.0000 3.5398 0.0000 0.0000 0.0000 3.8885" Properties=species:S:1:pos:R:3 pbc="T T T"
Be 0.0000 0.0000 0.0000
S 1.7699 1.7699 1.9443
N 0.0000 1.7699 1.9443
N 1.7699 0.0000 1.9443
F 1.7699 1.7699 0.0000
```

Computed properties:
raw formation energy: 1191.9 meV per atom
size of the total moment: 0.000 μB/f.u.
energy above the most stable polymorph in this dataset: 424 meV per atom
DOS(E_F): 1.2 states/eV/cell

Entry 8:
Compound: ReF
Source: the Alexandria database
Functional: PBE
Structure: optimized geometry

extended XYZ file:
```
16
Lattice="4.2676 0.0000 0.0000 0.0000 5.8602 0.0000 0.0000 0.0000 9.5849" Properties=species:S:1:pos:R:3 pbc="T T T"
Re 0.0987 1.2814 2.7576
Re 0.9209 0.7096 4.8896
Re 1.2129 5.1506 0.0971
Re 2.0351 4.5788 7.5500
Re 2.2325 1.6487 6.8273
Re 3.0548 2.2205 4.6953
Re 3.3467 3.6397 9.4877
Re 4.1689 4.2114 2.0349
F 0.7292 2.9753 7.3777
F 0.8210 1.1978 0.6373
F 1.3128 4.6623 5.4297
F 1.4046 2.8849 2.5853
F 2.8630 5.8149 2.2071
F 2.9548 1.7323 8.9476
F 3.4466 4.1279 4.1552
F 3.5384 0.0452 6.9996
```

Computed properties:
raw formation energy: -480.7 meV per atom
size of the total moment: 0.000 μB/f.u.
energy above the most stable polymorph in this dataset: 528 meV per atom
DOS(E_F): 4.1 states/eV/cell

Entry 9:
Compound: Na2Tb2ZrSe6
Source: the Alexandria database
Functional: PBE
Structure: optimized geometry

extended XYZ file:
```
11
Lattice="3.5348 -6.0619 0.0000 3.5348 6.0619 0.0000 -2.3676 0.0000 7.0903" Properties=species:S:1:pos:R:3 pbc="T T T"
Na 3.5348 4.0042 0.0000
Na 3.5348 -4.0042 0.0000
Tb 2.3510 2.0199 3.5452
Tb 2.3510 -2.0199 3.5452
Zr -1.1838 0.0000 3.5452
Se -0.0552 1.9290 5.1348
Se 1.0443 0.0000 1.9671
Se -0.0552 -1.9290 5.1348
Se 4.7573 1.9290 1.9555
Se 3.6577 0.0000 5.1232
Se 4.7573 -1.9290 1.9555
```

Computed properties:
raw formation energy: -1588.9 meV per atom
size of the total moment: 0.000 μB/f.u.

Entry 10:
Compound: Tc3MoAu
Source: the Alexandria database
Functional: PBE
Structure: optimized geometry

extended XYZ file:
```
5
Lattice="4.6603 0.0000 0.0000 0.0000 4.6603 0.0000 0.0000 0.0000 4.6603" Properties=species:S:1:pos:R:3 pbc="T T T"
Tc 0.0000 0.0000 2.3301
Tc 0.0000 2.3301 0.0000
Tc 2.3301 0.0000 0.0000
Mo 0.0000 0.0000 0.0000
Au 2.3301 2.3301 2.3301
```

Computed properties:
energy relative to the elements: 1690 meV per atom
size of the total moment: 2.444 μB/f.u.
energy above the most stable polymorph in this dataset: 0 meV per atom
DOS(E_F): 4.8 states/eV/cell

Entry 11:
Compound: NiP2
Source: the Alexandria database
Functional: PBE
Structure: optimized geometry

extended XYZ file:
```
6
Lattice="3.7760 0.0000 0.0000 -1.8880 3.2701 0.0000 0.0000 0.0000 6.8751" Properties=species:S:1:pos:R:3 pbc="T T T"
Ni 0.0000 2.1801 1.7188
Ni 1.8880 1.0900 5.1564
P 0.0000 0.0000 0.0000
P 0.0000 0.0000 3.4376
P 0.0000 2.1801 5.1564
P 1.8880 1.0900 1.7188
```

Computed properties:
energy relative to the elements: 272 meV per atom
size of the total moment: 0.000 μB/f.u.
DOS(E_F): 4.8 states/eV/cell

Entry 12:
Compound: CrAgSe2
Source: the Alexandria database
Functional: PBE
Structure: optimized geometry

extended XYZ file:
```
4
Lattice="2.9965 0.0000 0.0000 0.0000 2.9965 0.0000 0.0000 0.0000 7.9792" Properties=species:S:1:pos:R:3 pbc="T T T"
Cr 0.0000 0.0000 0.0000
Ag 0.0000 0.0000 3.9896
Se 1.4983 1.4983 1.4786
Se 1.4983 1.4983 6.5006
```

Computed properties:
raw formation energy: 71.1 meV per atom
size of the total moment: 0.000 μB/f.u.
DOS(E_F): 2.3 states/eV/cell